Entry 1:
Material: B2C
Method: DFT, PBE-GGA
State: optimized geometry

Lattice parameters (Å, degrees): 4.617 4.617 7.772 66.22 66.22 34.19
Sites, in units of the cell vectors:
B  0.319  0.319  0.356
B  0.506  0.506  0.375
B  0.857  0.857  0.157
B  0.054  0.054  0.965
B  0.205  0.205  0.067
B  0.301  0.301  0.819
B  0.438  0.438  0.951
B  0.685  0.685  0.624
C  0.666  0.666  0.188
C  0.831  0.831  0.696
C  0.987  0.987  0.515
C  0.151  0.151  0.538

Results
Offset from the most stable computed form = 0.225 eV per atom
Total magnetic moment = 0.00 μB per formula unit
DFT total energy = -7.12 eV/atom
SG = Cm (8)

Entry 2:
Material: Sr2TaTe
Method: DFT, PBE-GGA
State: optimized geometry

Lattice parameters (Å, degrees): 8.896 8.896 7.175 51.69 51.69 90.00
Sites, in units of the cell vectors:
Sr  0.616  0.125  0.250
Sr  0.134  0.625  0.250
Sr  0.375  0.384  0.750
Sr  0.875  0.866  0.750
Te  0.500  0.500  0.000
Te  0.250  0.750  0.500
Ta  0.000  0.000  0.000
Ta  0.750  0.250  0.500

Results
Offset from the most stable computed form = 0.513 eV per atom
Formation energy (no corrections) = 2.26 eV per formula unit
Total magnetic moment = 3.00 μB per formula unit
DFT total energy = -4.02 eV/atom
SG = I-42d (122)

Entry 3:
Material: Mg14FeSb
Method: DFT, PBE-GGA
State: optimized geometry

Lattice parameters (Å, degrees): 6.296 6.296 10.123 90.00 90.00 119.36
Sites, in units of the cell vectors:
Mg  0.834  0.166  0.000
Mg  0.335  0.665  0.000
Mg  0.338  0.162  0.500
Mg  0.335  0.170  0.000
Mg  0.838  0.662  0.500
Mg  0.830  0.665  0.000
Mg  0.155  0.327  0.263
Mg  0.155  0.327  0.737
Mg  0.673  0.845  0.263
Mg  0.673  0.845  0.737
Mg  0.670  0.330  0.259
Mg  0.670  0.330  0.741
Mg  0.163  0.837  0.247
Mg  0.163  0.837  0.753
Fe  0.838  0.162  0.500
Sb  0.330  0.670  0.500

Results
Offset from the most stable computed form = 0.012 eV per atom
Formation energy (no corrections) = 0.73 eV per formula unit
Total magnetic moment = 2.66 μB per formula unit
DFT total energy = -2.14 eV/atom
SG = Amm2 (38)

Entry 4:
Material: Nd2Y2In3
Method: DFT, PBE-GGA
State: optimized geometry

Lattice parameters (Å, degrees): 3.972 6.518 9.162 111.39 89.90 107.69
Sites, in units of the cell vectors:
Nd  0.887  0.770  0.549
Nd  0.113  0.230  0.451
Y  0.634  0.267  0.825
Y  0.366  0.733  0.175
In  0.000  0.000  0.000
In  0.670  0.342  0.205
In  0.330  0.658  0.795

Results
Offset from the most stable computed form = 0.018 eV per atom
Total magnetic moment = 0.00 μB per formula unit
DFT total energy = -4.69 eV/atom
SG = P-1 (2)

Entry 5:
Material: AlIBr2
Method: DFT, PBE-GGA
State: optimized geometry

Lattice parameters (Å, degrees): 3.624 7.681 11.836 90.00 90.00 103.65
Sites, in units of the cell vectors:
Al  0.922  0.844  0.250
Al  0.078  0.156  0.750
I  0.089  0.177  0.250
I  0.911  0.823  0.750
Br  0.624  0.248  0.890
Br  0.376  0.752  0.110
Br  0.376  0.752  0.390
Br  0.624  0.248  0.610

Results
Offset from the most stable computed form = 0.101 eV per atom
Formation energy (no corrections) = -3.27 eV per formula unit
Total magnetic moment = 0.00 μB per formula unit
DFT total energy = -2.98 eV/atom
SG = Cmcm (63)

Entry 6:
Material: EuErBi2
Method: DFT, PBE-GGA
State: optimized geometry

Lattice parameters (Å, degrees): 4.522 4.522 8.049 73.69 73.69 60.00
Sites, in units of the cell vectors:
Eu  0.500  0.500  0.500
Bi  0.255  0.255  0.234
Bi  0.745  0.745  0.766
Er  0.000  0.000  0.000

Results
Offset from the most stable computed form = 0.000 eV per atom
Total magnetic moment = 6.67 μB per formula unit
DFT total energy = -6.42 eV/atom
SG = R-3m (166)

Entry 7:
Material: Ho6Er2TmSc3
Method: DFT, PBE-GGA
State: optimized geometry

Lattice parameters (Å, degrees): 5.996 5.996 11.384 95.03 95.03 119.95
Sites, in units of the cell vectors:
Ho  0.914  0.581  0.742
Ho  0.753  0.753  0.258
Ho  0.086  0.419  0.258
Ho  0.581  0.914  0.742
Ho  0.247  0.247  0.742
Ho  0.419  0.086  0.258
Er  0.333  0.667  0.000
Er  0.667  0.333  0.000
Tm  0.000  0.000  0.000
Sc  0.166  0.834  0.500
Sc  0.834  0.166  0.500
Sc  0.500  0.500  0.500

Results
Total magnetic moment = 0.00 μB per formula unit
DFT total energy = -4.96 eV/atom
SG = C2/m (12)

Entry 8:
Material: WBr
Method: DFT, PBE-GGA
State: optimized geometry

Lattice parameters (Å, degrees): 5.288 5.288 5.288 90.00 90.00 90.00
Sites, in units of the cell vectors:
W  0.418  0.918  0.582
W  0.082  0.082  0.082
W  0.582  0.418  0.918
W  0.918  0.582  0.418
Br  0.147  0.647  0.853
Br  0.353  0.353  0.353
Br  0.853  0.147  0.647
Br  0.647  0.853  0.147

Results
Offset from the most stable computed form = 1.411 eV per atom
Formation energy (no corrections) = 2.99 eV per formula unit
Total magnetic moment = 0.00 μB per formula unit
DFT total energy = -5.82 eV/atom
SG = P2_13 (198)

- Number 4 is which compound?
  Nd2Y2In3

- Among the records above, which one has the highest DFT total energy?
  Mg14FeSb

- What is the DFT total energy in the second record?
  -4.02 eV/atom

- What is the formula in the sixth record?
  EuErBi2